1.
{"formula": "LiTaGe2Cl", "functional": "PBE", "state": "relaxed", "lattice_angstrom": [[-4.3936, -0.2246, -1.9025], [1.2951, -2.6901, -2.6732], [-1.1273, -3.5455, 3.0219]], "species": ["Ge", "Ge", "Cl", "Li", "Ta"], "frac_coords": [[0.0000, 0.0000, 0.5000], [0.5000, 0.0000, 0.0000], [0.0000, 0.5000, 0.0000], [0.0000, 0.0000, 0.0000], [0.5000, 0.5000, 0.5000]], "dft_energy_ev_per_atom": -4.23, "volume_a3_per_cell": 92.1, "raw_formation_energy_ev_per_atom": 0.74}

=====

2.
{"formula": "Nd2ZnRh", "functional": "PBE", "state": "relaxed", "lattice_angstrom": [[4.5108, 0.0000, 0.0000], [0.0000, 5.8854, 0.0176], [0.0000, -2.9153, 7.3776]], "species": ["Nd", "Nd", "Nd", "Nd", "Zn", "Zn", "Rh", "Rh"], "frac_coords": [[0.7500, 0.2308, 0.4225], [0.2500, 0.7692, 0.5775], [0.2500, 0.7860, 0.0642], [0.7500, 0.2140, 0.9358], [0.7500, 0.6522, 0.2869], [0.2500, 0.3478, 0.7131], [0.2500, 0.3596, 0.2143], [0.7500, 0.6404, 0.7857]], "dft_energy_ev_per_atom": -5.07, "volume_a3_per_cell": 196.1, "e_form_kj_per_mol_atoms": -50.9}

=====

3.
{"formula": "Mn2RhPb", "functional": "PBE", "state": "relaxed", "lattice_angstrom": [[4.5547, 0.0000, 0.0000], [2.2773, 3.9445, 0.0000], [2.2773, 1.3148, 3.7189]], "species": ["Mn", "Mn", "Pb", "Rh"], "frac_coords": [[0.0000, 0.0000, 0.0000], [0.2500, 0.2500, 0.2500], [0.5000, 0.5000, 0.5000], [0.7500, 0.7500, 0.7500]], "dft_energy_ev_per_atom": -7.13, "volume_a3_per_cell": 66.8, "e_form_kj_per_mol_atoms": 21.6}

=====

4.
{"formula": "HoFe5B2", "functional": "PBE", "state": "relaxed", "lattice_angstrom": [[3.2525, 0.0000, 0.0000], [1.6262, 5.4296, 0.2403], [1.6262, 1.2337, 5.2930]], "species": ["Ho", "Fe", "Fe", "Fe", "Fe", "Fe", "B", "B"], "frac_coords": [[0.0000, 0.0000, 0.0000], [0.0000, 0.5000, 0.5000], [0.6605, 0.5256, 0.1534], [0.3395, 0.4744, 0.8466], [0.3395, 0.8466, 0.4744], [0.6605, 0.1534, 0.5256], [0.7527, 0.7473, 0.7473], [0.2473, 0.2527, 0.2527]], "dft_energy_ev_per_atom": -7.82, "volume_a3_per_cell": 92.5, "e_form_kj_per_mol_atoms": -27.5}

=====

5.
{"formula": "LaHo2AlAu4", "functional": "PBE", "state": "relaxed", "lattice_angstrom": [[4.9546, 0.0000, 0.0000], [2.4773, 4.2908, 0.0000], [2.4773, 1.4303, 8.6733]], "species": ["La", "Ho", "Ho", "Al", "Au", "Au", "Au", "Au"], "frac_coords": [[0.0000, 0.0000, 0.0000], [0.7640, 0.7640, 0.7080], [0.2360, 0.2360, 0.2920], [0.5000, 0.5000, 0.5000], [0.3960, 0.3960, 0.8119], [0.8786, 0.8786, 0.3642], [0.1214, 0.1214, 0.6358], [0.6040, 0.6040, 0.1881]], "dft_energy_ev_per_atom": -4.61, "volume_a3_per_cell": 184.4, "e_form_kj_per_mol_atoms": -71.7}

=====

6.
{"formula": "PaTeSI", "functional": "PBE", "state": "relaxed", "lattice_angstrom": [[-2.0150, -2.4401, 3.2197], [-0.1999, -1.3500, -4.3032], [8.0848, -2.1150, 0.3059]], "species": ["Pa", "Te", "S", "I"], "frac_coords": [[0.8231, 0.2755, 0.0986], [0.0012, 0.8642, 0.8653], [0.5132, 0.6211, 0.1343], [0.3546, 0.0437, 0.3983]], "dft_energy_ev_per_atom": -5.55, "volume_a3_per_cell": 140.4, "raw_formation_energy_ev_per_atom": -0.97}

=====

7.
{"formula": "Li2CdHg2", "functional": "PBE", "state": "relaxed", "lattice_angstrom": [[-3.8053, -0.9456, 0.1174], [0.4216, -1.2374, 3.6986], [-3.2032, 5.2765, 4.2107]], "species": ["Li", "Li", "Hg", "Hg", "Cd"], "frac_coords": [[0.7500, 0.2500, 0.5000], [0.2500, 0.7500, 0.5000], [0.3891, 0.3891, 0.2217], [0.6109, 0.6109, 0.7783], [0.0000, 0.0000, 0.0000]], "dft_energy_ev_per_atom": -1.23, "volume_a3_per_cell": 106.8, "e_form_kj_per_mol_atoms": -15.1}

=====

8.
{"formula": "BeCuPd3", "functional": "PBE", "state": "relaxed", "lattice_angstrom": [[-2.2791, 1.0246, 3.3627], [-1.6532, -3.8491, 0.0523], [3.1023, -1.2985, 2.4982]], "species": ["Be", "Cu", "Pd", "Pd", "Pd"], "frac_coords": [[0.0000, 0.0000, 0.0000], [0.5000, 0.5000, 0.5000], [0.0000, 0.5000, 0.0000], [0.0000, 0.0000, 0.5000], [0.5000, 0.0000, 0.0000]], "dft_energy_ev_per_atom": -4.64, "volume_a3_per_cell": 73.5, "e_form_kj_per_mol_atoms": 4.0}

=====

9.
{"formula": "TaCo2Ru", "functional": "PBE", "state": "relaxed", "lattice_angstrom": [[3.7464, 0.0000, 0.0000], [0.0000, 3.7468, 0.0000], [0.0000, 0.0000, 3.7134]], "species": ["Ru", "Co", "Co", "Ta"], "frac_coords": [[0.5000, 0.0000, 0.5000], [0.0000, 0.0000, 0.0000], [0.5000, 0.5000, 0.0000], [0.0000, 0.5000, 0.5000]], "dft_energy_ev_per_atom": -9.05, "volume_a3_per_cell": 52.1, "e_form_kj_per_mol_atoms": -20.8}

=====

10.
{"formula": "AcLuIr2", "functional": "PBE", "state": "relaxed", "lattice_angstrom": [[3.4626, 0.0000, 0.0000], [0.0000, 3.4626, 0.0000], [0.0000, 0.0000, 7.3544]], "species": ["Ac", "Ir", "Ir", "Lu"], "frac_coords": [[0.5000, 0.5000, 0.5000], [0.0000, 0.0000, 0.7840], [0.0000, 0.0000, 0.2160], [0.5000, 0.5000, 0.0000]], "dft_energy_ev_per_atom": -7.20, "volume_a3_per_cell": 88.2, "e_form_kj_per_mol_atoms": -58.8}

=====

11.
{"formula": "Ti2HIrRh", "functional": "PBE", "state": "relaxed", "lattice_angstrom": [[4.1320, 0.0000, 0.0000], [0.0000, 4.1320, 0.0000], [0.0000, 0.0000, 3.6402]], "species": ["H", "Ir", "Rh", "Ti", "Ti"], "frac_coords": [[0.0000, 0.0000, 0.0000], [0.5000, 0.5000, 0.5000], [0.0000, 0.0000, 0.5000], [0.0000, 0.5000, 0.0000], [0.5000, 0.0000, 0.0000]], "dft_energy_ev_per_atom": -7.72, "volume_a3_per_cell": 62.2}

=====

12.
{"formula": "TaBeAl", "functional": "PBE", "state": "relaxed", "lattice_angstrom": [[4.8535, -0.0035, 0.0000], [-2.3541, 4.2444, 0.0000], [0.0000, 0.0000, 7.9501]], "species": ["Ta", "Ta", "Ta", "Ta", "Al", "Al", "Al", "Al", "Be", "Be", "Be", "Be"], "frac_coords": [[0.3345, 0.6656, 0.3072], [0.6650, 0.3350, 0.1805], [0.6650, 0.3350, 0.8195], [0.3345, 0.6656, 0.6928], [0.9950, 0.0050, 0.2263], [0.9950, 0.0050, 0.7737], [0.3447, 0.1654, 0.5000], [0.8346, 0.6553, 0.5000], [0.8343, 0.1657, 0.5000], [0.6264, 0.8124, 0.0000], [0.1876, 0.3736, 0.0000], [0.1835, 0.8165, 0.0000]], "dft_energy_ev_per_atom": -6.75, "volume_a3_per_cell": 163.7, "e_form_kj_per_mol_atoms": -30.0}

=====

13.
{"formula": "La2SiCl", "functional": "PBE", "state": "relaxed", "lattice_angstrom": [[10.7940, 0.0255, 0.0150], [10.1178, 3.7607, 0.0150], [10.1178, 1.8319, 3.2844]], "species": ["Cl", "La", "La", "Si"], "frac_coords": [[0.7331, 0.7331, 0.7331], [0.0066, 0.0066, 0.0066], [0.2462, 0.2462, 0.2462], [0.5141, 0.5141, 0.5141]], "dft_energy_ev_per_atom": -4.66, "volume_a3_per_cell": 131.9, "raw_formation_energy_ev_per_atom": -0.38}